# AgPb2W | Alexandria via LeMat-Bulk | GGA-PBE | optimized geometry
data_AgPb2W
_chemical_formula_sum 'Ag1 Pb2 W1'
_space_group_name_H-M_alt 'P 4/m m m'
_space_group_IT_number 123
_space_group_name_Hall '-P 4 2'
_cell_length_a 3.649
_cell_length_b 3.649
_cell_length_c 6.522
_cell_angle_alpha 90.00
_cell_angle_beta 90.00
_cell_angle_gamma 90.00
loop_
_atom_site_label
_atom_site_fract_x
_atom_site_fract_y
_atom_site_fract_z
Ag1 0.000 0.000 0.000
Pb1 0.500 0.500 0.260
W1 0.000 0.000 0.500
# Total moment   0.00 μB per cell
# Fermi-level density of states   2.6 states/eV per cell
# ΔH_f (0 K)   3.23 eV per formula unit